(1)
This record from Alexandria describes a relaxed structure of ErThOsPd. The functional is PBE-GGA.

Cell lengths 4.977, 4.977, 4.977 Å; angles 60.00, 60.00, 60.00 degrees
Atoms (fractional coordinates):
Os (0.000, 0.000, 0.000)
Pd (0.500, 0.500, 0.500)
Th (0.750, 0.750, 0.750)
Er (0.250, 0.250, 0.250)

Computed properties:
Final energy, eV per atom: -7.642
Energy of formation from the pure elements, meV/atom: -541


(2)
This record from Alexandria describes a relaxed structure of SmZrZnGa. The functional is PBE-GGA.

Cell lengths 4.939, 4.939, 4.939 Å; angles 60.00, 60.00, 60.00 degrees
Atoms (fractional coordinates):
Zn (0.750, 0.750, 0.750)
Ga (0.250, 0.250, 0.250)
Zr (0.000, 0.000, 0.000)
Sm (0.500, 0.500, 0.500)

Computed properties:
Final energy, eV per atom: -4.751
Energy of formation from the pure elements, meV/atom: -359


(3)
This record from Alexandria describes a relaxed structure of KTaSnO6. The functional is PBE-GGA.

Cell lengths 5.710, 5.710, 10.809 Å; angles 90.00, 90.00, 120.00 degrees
Last column: magnetic moment on the atom in μB.
Atoms (fractional coordinates):
K (0.000, 0.000, 0.000)  0.01
K (0.000, 0.000, 0.500)  0.01
Ta (0.667, 0.333, 0.250)  -0.07
Ta (0.333, 0.667, 0.750)  -0.07
Sn (0.333, 0.667, 0.250)  -0.01
Sn (0.667, 0.333, 0.750)  -0.01
O (0.589, 0.579, 0.149)  0.29
O (0.990, 0.411, 0.149)  0.29
O (0.411, 0.990, 0.649)  0.29
O (0.010, 0.589, 0.851)  0.29
O (0.421, 0.411, 0.351)  0.29
O (0.990, 0.579, 0.351)  0.29
O (0.579, 0.990, 0.851)  0.29
O (0.589, 0.010, 0.351)  0.29
O (0.010, 0.421, 0.649)  0.29
O (0.421, 0.010, 0.149)  0.29
O (0.579, 0.589, 0.649)  0.29
O (0.411, 0.421, 0.851)  0.29

Computed properties:
Energy relative to the elements, uncorrected, eV per atom: -1.70
Final energy, eV per atom: -6.890


(4)
This record from Alexandria describes a relaxed structure of Np2Si2Rh5. The functional is PBE-GGA.

Cell lengths 4.065, 4.065, 8.995 Å; angles 90.00, 90.00, 90.00 degrees
Last column: magnetic moment on the atom in μB.
Atoms (fractional coordinates):
Np (0.000, 0.000, 0.000)  3.63
Np (0.000, 0.000, 0.500)  2.82
Si (0.500, 0.500, 0.135)  -0.01
Si (0.500, 0.500, 0.865)  -0.01
Rh (0.500, 0.000, 0.271)  -0.13
Rh (0.500, 0.000, 0.729)  -0.13
Rh (0.000, 0.500, 0.271)  -0.13
Rh (0.000, 0.500, 0.729)  -0.13
Rh (0.500, 0.500, 0.500)  -0.31

Computed properties:
Energy relative to the elements, uncorrected, eV per atom: -0.62
Final energy, eV per atom: -8.787